# 1
Entry from the Alexandria database: LiZn2GaBi after structural relaxation (PBE).

Calculated values
As for the symmetry: P4/mmm.

Cell: 4.7771 4.7771 4.9563 Å, 90.00 90.00 90.00°
With the nearest neighbours (Å) after each atom.
Positions (direct):
Li (0.0000, 0.0000, 0.0000)  2 Ga 2.48
Zn (0.0000, 0.5000, 0.5000)  2 Ga 2.39
Zn (0.5000, 0.0000, 0.5000)  2 Ga 2.39
Ga (0.0000, 0.0000, 0.5000)  4 Zn 2.39, 2 Li 2.48
Bi (0.5000, 0.5000, 0.0000)  4 Li 3.38, 8 Zn 3.44

# 2
Entry from the Alexandria database: LiZnGaBi after structural relaxation (PBE).

Calculated values
As for the symmetry: F-43m.

Cell: 7.0046 7.0046 7.0046 Å, 90.00 90.00 90.00°
With the nearest neighbours (Å) after each atom.
Positions (direct):
Li (0.0000, 0.0000, 0.0000)  4 Bi 3.03, 4 Ga 3.03
Li (0.0000, 0.5000, 0.5000)  4 Bi 3.03, 4 Ga 3.03
Li (0.5000, 0.0000, 0.5000)  4 Bi 3.03, 4 Ga 3.03
Li (0.5000, 0.5000, 0.0000)  4 Bi 3.03, 4 Ga 3.03
Zn (0.0000, 0.0000, 0.5000)  4 Bi 3.03, 4 Ga 3.03
Zn (0.0000, 0.5000, 0.0000)  4 Bi 3.03, 4 Ga 3.03
Zn (0.5000, 0.0000, 0.0000)  4 Bi 3.03, 4 Ga 3.03
Zn (0.5000, 0.5000, 0.5000)  4 Bi 3.03, 4 Ga 3.03
Ga (0.2500, 0.2500, 0.2500)  4 Li 3.03, 4 Zn 3.03
Ga (0.2500, 0.7500, 0.7500)  4 Li 3.03, 4 Zn 3.03
Ga (0.7500, 0.2500, 0.7500)  4 Li 3.03, 4 Zn 3.03
Ga (0.7500, 0.7500, 0.2500)  4 Li 3.03, 4 Zn 3.03
Bi (0.2500, 0.2500, 0.7500)  4 Li 3.03, 4 Zn 3.03
Bi (0.2500, 0.7500, 0.2500)  4 Li 3.03, 4 Zn 3.03
Bi (0.7500, 0.2500, 0.2500)  4 Li 3.03, 4 Zn 3.03
Bi (0.7500, 0.7500, 0.7500)  4 Li 3.03, 4 Zn 3.03

no.,VASP energy (eV per formula unit),D(E_F) (states/eV/atom)
1,-10.3,0.669
2,-10.3,0.398